[1]
Here is ThBeSi after structural relaxation from Alexandria via LeMat-Bulk. Energies are from GGA-PBE.

- raw total energy (eV/cell) = -36.64
- raw formation energy (meV per atom) = -583

Structure (extended XYZ):
```
6
Lattice="3.9124 0.0000 0.0000 0.0000 4.2739 0.0000 0.0000 0.0000 6.8333" Properties=species:S:1:pos:R:3 pbc="T T T"
Th 0.0000 0.0000 0.0000
Th 1.9562 0.0000 3.4167
Be 0.0000 2.1370 2.3197
Be 0.0000 2.1370 4.5136
Si 1.9562 2.1370 1.2026
Si 1.9562 2.1370 5.6307
```

[2]
Here is NpInOs after structural relaxation from Alexandria via LeMat-Bulk. Energies are from GGA-PBE.

- energy of formation from the pure elements (kJ/mol of formula units) = 56
- raw total energy (eV/cell) = -26.33

Structure (extended XYZ):
```
3
Lattice="-1.5865 1.5865 6.1099 1.5865 -1.5865 6.1099 1.5865 1.5865 -6.1099" Properties=species:S:1:pos:R:3 pbc="T T T"
Np 0.0000 0.0000 0.0000
In 0.0000 0.0000 8.6587
Os 0.0000 0.0000 4.3961
```

[3]
Here is Ca2Ac8Pm3 after structural relaxation from Alexandria via LeMat-Bulk. Energies are from GGA-PBE.

- energy of formation from the pure elements (kJ/mol of formula units) = 263
- raw total energy (eV/cell) = -48.40

Structure (extended XYZ):
```
13
Lattice="8.3009 -4.9343 0.0000 8.3009 4.9343 0.0000 -2.2451 0.0000 7.0447" Properties=species:S:1:pos:R:3 pbc="T T T"
Ca 2.3630 0.0000 2.9588
Ca 11.9937 0.0000 4.0859
Ac 1.1071 0.0000 6.2757
Ac 4.5975 1.8045 5.7117
Ac 6.0484 0.0000 2.0744
Ac 9.7592 1.8045 1.3330
Ac 4.5975 -1.8045 5.7117
Ac 8.3083 0.0000 4.9703
Ac 9.7592 -1.8045 1.3330
Ac 13.2497 0.0000 0.7690
Pm 0.0000 0.0000 0.0000
Pm 7.1784 3.3410 3.5223
Pm 7.1784 -3.3410 3.5223
```